[1]
An optimized crystal structure of ErSc2Sn2. Source: Alexandria via LeMat-Bulk, functional GGA-PBE.

Cell: 4.9635 4.9635 17.0096 Å, 90.00 90.00 120.00°
With the nearest neighbours (Å) after each atom.
Space group R-3m (No. 166, hexagonal axes)
Inequivalent atoms, fractional coordinates:
Er 0.0000 0.0000 0.0000 x3  6 Sn 3.14, 2 Sc 3.47
Sc 0.0000 0.0000 0.2042 x6  3 Sn 3.01, 3 Sc 3.14
Sn 0.0000 0.0000 0.4092 x6  3 Sc 3.01, 1 Sn 3.09, 3 Er 3.14


[2]
An optimized crystal structure of Er2ScSn. Source: Alexandria via LeMat-Bulk, functional GGA-PBE.

Cell: 4.6841 4.6841 4.6768 Å, 90.00 90.00 90.00°
With the nearest neighbours (Å) after each atom.
Space group P4/mmm (No. 123)
Inequivalent atoms, fractional coordinates:
Er 0.0000 0.5000 0.0000 x2  4 Sn 3.31, 4 Sc 3.31, 4 Er 3.31
Sc 0.0000 0.0000 0.5000 x1  8 Er 3.31, 4 Sn 3.31
Sn 0.5000 0.5000 0.5000 x1  8 Er 3.31, 4 Sc 3.31


[3]
An optimized crystal structure of ErSc2Sn. Source: Alexandria via LeMat-Bulk, functional GGA-PBE.

Cell: 4.3803 4.4605 10.8086 Å, 90.00 101.65 90.00°
With the nearest neighbours (Å) after each atom.
Space group P2_1/m (No. 11)
Inequivalent atoms, fractional coordinates:
Er 0.1887 0.2500 0.3795 x2  5 Sn 3.15-3.18, 2 Sc 3.50
Sc 0.0554 0.7500 0.1115 x2  8 Sc 3.13-3.30, 2 Sn 3.13
Sc 0.4395 0.7500 0.8783 x2  2 Sn 3.08, 8 Sc 3.13-3.41
Sn 0.3398 0.2500 0.6775 x2  4 Sc 3.08-3.13, 5 Er 3.15-3.18


[4]
An optimized crystal structure of ErScTlSn. Source: Alexandria via LeMat-Bulk, functional GGA-PBE.

Cell: 7.3677 7.3677 7.3677 Å, 90.00 90.00 90.00°
With the nearest neighbours (Å) after each atom.
Space group F-43m (No. 216)
Inequivalent atoms, fractional coordinates:
Er 0.0000 0.0000 0.0000 x4  4 Sn 3.19, 4 Tl 3.19
Sc 0.0000 0.0000 0.5000 x4  4 Tl 3.19, 4 Sn 3.19
Tl 0.2500 0.2500 0.2500 x4  4 Er 3.19, 4 Sc 3.19
Sn 0.2500 0.2500 0.7500 x4  4 Er 3.19, 4 Sc 3.19


[5]
An optimized crystal structure of ErScZnSn. Source: Alexandria via LeMat-Bulk, functional GGA-PBE.

Cell: 7.1042 7.1042 7.1042 Å, 90.00 90.00 90.00°
With the nearest neighbours (Å) after each atom.
Space group F-43m (No. 216)
Inequivalent atoms, fractional coordinates:
Er 0.0000 0.0000 0.0000 x4  4 Sn 3.08, 4 Zn 3.08
Sc 0.0000 0.0000 0.5000 x4  4 Zn 3.08, 4 Sn 3.08
Zn 0.2500 0.2500 0.7500 x4  4 Er 3.08, 4 Sc 3.08
Sn 0.2500 0.2500 0.2500 x4  4 Er 3.08, 4 Sc 3.08


[6]
An optimized crystal structure of ErScTa. Source: Alexandria via LeMat-Bulk, functional GGA-PBE.

Cell: 3.4674 3.4674 12.1646 Å, 90.00 90.00 90.00°
With the nearest neighbours (Å) after each atom.
Space group P4/nmm (No. 129, origin choice 2)
Inequivalent atoms, fractional coordinates:
Er 0.2500 0.2500 0.1001 x2  4 Sc 3.45, 8 Er 3.46-3.47
Sc 0.2500 0.2500 0.7002 x2  5 Ta 3.03-3.09
Ta 0.2500 0.2500 0.4465 x2  4 Ta 2.78, 5 Sc 3.03-3.09


[7]
An optimized crystal structure of ErThScTa. Source: Alexandria via LeMat-Bulk, functional GGA-PBE.

Cell: 7.3704 7.3704 7.3704 Å, 90.00 90.00 90.00°
With the nearest neighbours (Å) after each atom.
Space group F-43m (No. 216)
Inequivalent atoms, fractional coordinates:
Er 0.0000 0.0000 0.0000 x4  4 Ta 3.19, 4 Sc 3.19
Th 0.0000 0.0000 0.5000 x4  4 Ta 3.19, 4 Sc 3.19
Sc 0.2500 0.2500 0.2500 x4  4 Th 3.19, 4 Er 3.19
Ta 0.2500 0.2500 0.7500 x4  4 Th 3.19, 4 Er 3.19


[8]
An optimized crystal structure of Tb3ErSc7. Source: Alexandria via LeMat-Bulk, functional GGA-PBE.

Cell: 12.0141 10.4474 5.4556 Å, 90.00 116.92 90.00°
With the nearest neighbours (Å) after each atom.
Space group C2/m (No. 12)
Inequivalent atoms, fractional coordinates:
Tb 0.0000 0.0000 0.0000 x2  4 Sc 3.06
Tb 0.0000 0.2129 0.5000 x4  5 Sc 3.00-3.20
Er 0.0000 0.5000 0.0000 x2  2 Sc 2.73
Sc 0.0000 0.5000 0.5000 x2  2 Er 2.73, 2 Tb 3.00
Sc 0.2075 0.0000 0.7069 x4  1 Er 3.13, 2 Tb 3.14, 6 Sc 3.32-3.39
Sc 0.2154 0.1925 0.2153 x8  2 Tb 3.06-3.20, 5 Sc 3.07-3.39


[9]
An optimized crystal structure of Tb3ErSc5. Source: Alexandria via LeMat-Bulk, functional GGA-PBE.

Cell: 8.3412 8.3412 14.2383 Å, 90.00 90.00 90.00°
With the nearest neighbours (Å) after each atom.
Space group I4/mcm (No. 140)
Inequivalent atoms, fractional coordinates:
Tb 0.0000 0.0000 0.2500 x4  10 Sc 3.41-3.56
Tb 0.1187 0.3813 0.0000 x8  1 Tb 2.80, 2 Sc 2.81
Er 0.0000 0.5000 0.2500 x4  4 Sc 2.94
Sc 0.0000 0.0000 0.0000 x4  6 Tb 3.33-3.56, 8 Sc 3.56
Sc 0.2074 0.2926 0.3647 x16  1 Tb 2.81, 1 Er 2.94


[10]
An optimized crystal structure of TbEr4Sc6. Source: Alexandria via LeMat-Bulk, functional GGA-PBE.

Cell: 6.2886 6.2886 15.8429 Å, 90.00 90.00 90.00°
With the nearest neighbours (Å) after each atom.
Space group I-42m (No. 121)
Inequivalent atoms, fractional coordinates:
Tb 0.0000 0.0000 0.0000 x2  8 Sc 3.14-3.45, 4 Er 3.30
Er 0.1904 0.1904 0.1791 x8  5 Sc 3.23-3.50, 1 Tb 3.30, 1 Er 3.39
Sc 0.0000 0.5000 0.0000 x4  4 Sc 2.98, 2 Tb 3.14
Sc 0.1730 0.1730 0.3826 x8  3 Sc 2.98-3.08, 3 Er 3.23-3.30


For reference, E_form by record: -0.542, -0.397, -0.453, -0.379, -0.462, 0.096, 0.243, 0.302, 0.284, 0.300 eV/atom.